Computed, not measured: a relaxed V2InPb crystal at the PBE level of DFT.

Results
total magnetization = 1.18 μB per formula unit
raw total energy = -5.34 eV per atom

Cell: 7.466 7.466 6.038 Å, 51.82 51.82 90.00°
Positions (direct):
Pb (0.000, 0.000, 0.000)
Pb (0.750, 0.250, 0.500)
In (0.500, 0.500, 0.000)
In (0.250, 0.750, 0.500)
V (0.624, 0.125, 0.250)
V (0.126, 0.625, 0.250)
V (0.375, 0.376, 0.750)
V (0.875, 0.874, 0.750)

Computed, not measured: a relaxed V2In2Pb crystal at the PBE level of DFT.

Results
total magnetization = 0.00 μB per formula unit
raw total energy = -5.19 eV per atom

Cell: 6.988 6.988 4.185 Å, 90.00 90.00 90.00°
Positions (direct):
Pb (0.000, 0.000, 0.000)
Pb (0.500, 0.500, 0.000)
In (0.167, 0.667, 0.500)
In (0.667, 0.833, 0.500)
In (0.833, 0.333, 0.500)
In (0.333, 0.167, 0.500)
V (0.380, 0.880, 0.000)
V (0.880, 0.620, 0.000)
V (0.620, 0.120, 0.000)
V (0.120, 0.380, 0.000)

Computed, not measured: a relaxed VInPb3 crystal at the PBE level of DFT.

Results
total magnetization = 0.44 μB per formula unit
offset from the most stable computed form = 0.000 eV per atom

Cell: 5.338 5.338 5.338 Å, 90.00 90.00 90.00°
Positions (direct):
Pb (0.000, 0.500, 0.000)
Pb (0.000, 0.000, 0.500)
Pb (0.500, 0.000, 0.000)
In (0.500, 0.500, 0.500)
V (0.000, 0.000, 0.000)

Computed, not measured: a relaxed V3InPb crystal at the PBE level of DFT.

Results
total magnetization = 6.71 μB per formula unit
offset from the most stable computed form = 0.000 eV per atom

Cell: 4.988 4.988 4.988 Å, 90.00 90.00 90.00°
Positions (direct):
Pb (0.500, 0.500, 0.500)
In (0.000, 0.000, 0.000)
V (0.000, 0.500, 0.000)
V (0.000, 0.000, 0.500)
V (0.500, 0.000, 0.000)

Computed, not measured: a relaxed VInPb3 crystal at the PBE level of DFT.

Results
total magnetization = 3.98 μB per formula unit
offset from the most stable computed form = 0.751 eV per atom

Cell: 5.696 5.696 5.696 Å, 90.00 90.00 90.00°
Positions (direct):
Pb (0.000, 0.500, 0.000)
Pb (0.000, 0.000, 0.500)
Pb (0.500, 0.000, 0.000)
In (0.000, 0.000, 0.000)
V (0.500, 0.500, 0.500)

Computed, not measured: a relaxed ZrVIn2Pb crystal at the PBE level of DFT.

Results
total magnetization = 0.31 μB per formula unit
raw total energy = -3.75 eV per atom

Cell: 5.487 5.550 5.487 Å, 90.00 90.00 90.00°
Positions (direct):
Pb (0.000, 0.000, 0.000)
V (0.500, 0.500, 0.500)
Zr (0.000, 0.500, 0.000)
In (0.000, 0.000, 0.500)
In (0.500, 0.000, 0.000)